No. 1
Entry from the Alexandria database: an optimized crystal structure of Ce2O3 (PBE).

Unit cell a=3.8320 b=3.8320 c=6.0597 alpha=90.00 beta=90.00 gamma=120.00
Closest atoms and distances in Å follow each position.
Positions (direct):
Ce (0.3333, 0.6667, 0.2451)  4 O 2.31-2.41
O (0.0000, 0.0000, 0.0000)  6 Ce 2.66
O (0.6667, 0.3333, 0.3575)  4 Ce 2.31-2.41
O (0.3333, 0.6667, 0.6425)  4 Ce 2.31-2.41
Ce (0.6667, 0.3333, 0.7549)  4 O 2.31-2.41

## Properties
Volume in Å³/atom: 15.4
M_tot in μB/f.u.: 2.02
Calculated density in kg/m3: 7073
Formation energy from raw total energies in eV per atom: -3.30

=====

No. 2
Entry from the Alexandria database: an optimized crystal structure of CdTe2Pb (PBE).

Unit cell a=4.6828 b=4.6828 c=8.7866 alpha=90.00 beta=90.00 gamma=120.00
Closest atoms and distances in Å follow each position.
Positions (direct):
Pb (0.6667, 0.3333, 0.5093)  4 Te 3.10-3.43
Cd (0.0000, 0.0000, 0.0032)  4 Te 2.85-2.94
Te (0.0000, 0.0000, 0.3376)  1 Cd 2.94, 3 Pb 3.10
Te (0.6667, 0.3333, 0.8999)  3 Cd 2.85

## Properties
Volume in Å³/atom: 41.7
M_tot in μB/f.u.: 0.00
Calculated density in kg/m3: 5720
Formation energy from raw total energies in eV per atom: -0.32

=====

No. 3
Entry from the Alexandria database: an optimized crystal structure of ZrGe3Os (PBE).

Unit cell a=5.0913 b=5.0913 c=5.0913 alpha=90.00 beta=90.00 gamma=90.00
Closest atoms and distances in Å follow each position.
Positions (direct):
Ge (0.0000, 0.0000, 0.5000)  2 Zr 2.55
Ge (0.5000, 0.0000, 0.0000)  2 Zr 2.55
Ge (0.0000, 0.5000, 0.0000)  2 Zr 2.55
Os (0.5000, 0.5000, 0.5000)  12 Ge 3.60
Zr (0.0000, 0.0000, 0.0000)  6 Ge 2.55

## Properties
Volume in Å³/atom: 26.4
E_tot in eV/atom: -5.128
M_tot in μB/f.u.: 3.17
Calculated density in kg/m3: 6283